Entry 1:
Below is CaAc12Nd7 after structural relaxation, with properties calculated at the PBE level.

CIF file:
```
data_CaAc12Nd7
_symmetry_space_group_name_H-M 'P 1'
_symmetry_Int_Tables_number 1
_cell_length_a 10.650
_cell_length_b 10.650
_cell_length_c 10.650
_cell_angle_alpha 109.47
_cell_angle_beta 109.47
_cell_angle_gamma 109.47
loop_
_symmetry_equiv_pos_as_xyz
'x,y,z'
loop_
_atom_site_label
_atom_site_type_symbol
_atom_site_fract_x
_atom_site_fract_y
_atom_site_fract_z
Ca1 Ca 0.000 0.000 0.000
Ac1 Ac 0.488 0.707 0.781
Ac2 Ac 0.781 0.488 0.707
Ac3 Ac 0.219 0.926 0.707
Ac4 Ac 0.293 0.781 0.074
Ac5 Ac 0.293 0.219 0.512
Ac6 Ac 0.219 0.512 0.293
Ac7 Ac 0.707 0.219 0.926
Ac8 Ac 0.926 0.707 0.219
Ac9 Ac 0.074 0.293 0.781
Ac10 Ac 0.512 0.293 0.219
Ac11 Ac 0.707 0.781 0.488
Ac12 Ac 0.781 0.074 0.293
Nd1 Nd 0.500 0.000 0.500
Nd2 Nd 0.500 0.500 0.500
Nd3 Nd 0.000 0.000 0.500
Nd4 Nd 0.000 0.500 0.500
Nd5 Nd 0.500 0.500 0.000
Nd6 Nd 0.000 0.500 0.000
Nd7 Nd 0.500 0.000 0.000
```

Theoretical density   6.739 Mg/m³
Formation energy   11.28 eV/f.u.
D(E_F)   1.21 states/eV/atom

Entry 2:
Below is CaAc8Nd5 after structural relaxation, with properties calculated at the PBE level.

CIF file:
```
data_CaAc8Nd5
_symmetry_space_group_name_H-M 'P 1'
_symmetry_Int_Tables_number 1
_cell_length_a 9.196
_cell_length_b 9.196
_cell_length_c 9.196
_cell_angle_alpha 110.99
_cell_angle_beta 106.47
_cell_angle_gamma 110.99
loop_
_symmetry_equiv_pos_as_xyz
'x,y,z'
loop_
_atom_site_label
_atom_site_type_symbol
_atom_site_fract_x
_atom_site_fract_y
_atom_site_fract_z
Ac1 Ac 0.569 0.912 0.835
Ac2 Ac 0.666 0.396 0.921
Ac3 Ac 0.923 0.088 0.657
Ac4 Ac 0.165 0.733 0.077
Ac5 Ac 0.524 0.604 0.270
Ac6 Ac 0.343 0.267 0.431
Ac7 Ac 0.079 0.746 0.476
Ac8 Ac 0.730 0.254 0.334
Nd1 Nd 0.825 0.696 0.728
Nd2 Nd 0.032 0.304 0.129
Nd3 Nd 0.272 0.097 0.968
Nd4 Nd 0.871 0.903 0.175
Nd5 Nd 0.500 0.000 0.500
Ca1 Ca 0.250 0.500 0.750
```

Theoretical density   7.164 Mg/m³
Formation energy   3.17 eV/f.u.
D(E_F)   1.60 states/eV/atom

Entry 3:
Below is CaAc5Nd6 after structural relaxation, with properties calculated at the PBE level.

CIF file:
```
data_CaAc5Nd6
_symmetry_space_group_name_H-M 'P 1'
_symmetry_Int_Tables_number 1
_cell_length_a 5.488
_cell_length_b 10.099
_cell_length_c 10.099
_cell_angle_alpha 107.41
_cell_angle_beta 105.78
_cell_angle_gamma 105.78
loop_
_symmetry_equiv_pos_as_xyz
'x,y,z'
loop_
_atom_site_label
_atom_site_type_symbol
_atom_site_fract_x
_atom_site_fract_y
_atom_site_fract_z
Ac1 Ac 0.500 0.833 0.167
Ac2 Ac 0.500 0.167 0.833
Ac3 Ac 0.500 0.500 0.500
Ac4 Ac 0.000 0.668 0.332
Ac5 Ac 0.000 0.332 0.668
Nd1 Nd 0.253 0.420 0.085
Nd2 Nd 0.253 0.085 0.420
Nd3 Nd 0.747 0.915 0.580
Nd4 Nd 0.747 0.580 0.915
Nd5 Nd 0.243 0.743 0.743
Nd6 Nd 0.757 0.257 0.257
Ca1 Ca 0.000 0.000 0.000
```

Theoretical density   7.143 Mg/m³
Formation energy   0.47 eV/f.u.
D(E_F)   1.71 states/eV/atom

Entry 4:
Below is Ca2Ac7Nd2 after structural relaxation, with properties calculated at the PBE level.

CIF file:
```
data_Ca2Ac7Nd2
_symmetry_space_group_name_H-M 'P 1'
_symmetry_Int_Tables_number 1
_cell_length_a 7.504
_cell_length_b 10.353
_cell_length_c 7.504
_cell_angle_alpha 90.00
_cell_angle_beta 121.71
_cell_angle_gamma 90.00
loop_
_symmetry_equiv_pos_as_xyz
'x,y,z'
loop_
_atom_site_label
_atom_site_type_symbol
_atom_site_fract_x
_atom_site_fract_y
_atom_site_fract_z
Nd1 Nd 0.269 0.000 0.731
Nd2 Nd 0.731 0.000 0.269
Ca1 Ca 0.244 0.500 0.244
Ca2 Ca 0.756 0.500 0.756
Ac1 Ac 0.500 0.309 0.000
Ac2 Ac 0.000 0.000 0.000
Ac3 Ac 0.500 0.176 0.500
Ac4 Ac 0.000 0.691 0.500
Ac5 Ac 0.500 0.691 0.000
Ac6 Ac 0.000 0.309 0.500
Ac7 Ac 0.500 0.824 0.500
```

Theoretical density   6.554 Mg/m³
Formation energy   2.93 eV/f.u.
D(E_F)   1.49 states/eV/atom
Offset from the most stable computed form   144 meV/atom

Entry 5:
Below is CaAc8Nd2 after structural relaxation, with properties calculated at the PBE level.

CIF file:
```
data_CaAc8Nd2
_symmetry_space_group_name_H-M 'P 1'
_symmetry_Int_Tables_number 1
_cell_length_a 5.905
_cell_length_b 9.935
_cell_length_c 10.071
_cell_angle_alpha 119.55
_cell_angle_beta 107.04
_cell_angle_gamma 90.00
loop_
_symmetry_equiv_pos_as_xyz
'x,y,z'
loop_
_atom_site_label
_atom_site_type_symbol
_atom_site_fract_x
_atom_site_fract_y
_atom_site_fract_z
Ac1 Ac 0.853 0.853 0.706
Ac2 Ac 0.147 0.147 0.294
Ac3 Ac 0.000 0.686 0.000
Ac4 Ac 0.340 0.552 0.680
Ac5 Ac 0.660 0.448 0.320
Ac6 Ac 0.660 0.872 0.320
Ac7 Ac 0.000 0.314 0.000
Ac8 Ac 0.340 0.128 0.680
Nd1 Nd 0.205 0.706 0.411
Nd2 Nd 0.795 0.294 0.589
Ca1 Ca 0.500 0.000 0.000
```

Theoretical density   7.359 Mg/m³
Formation energy   1.29 eV/f.u.
D(E_F)   1.61 states/eV/atom
Offset from the most stable computed form   0 meV/atom

Entry 6:
Below is CaAc8Nd6 after structural relaxation, with properties calculated at the PBE level.

CIF file:
```
data_CaAc8Nd6
_symmetry_space_group_name_H-M 'P 1'
_symmetry_Int_Tables_number 1
_cell_length_a 9.295
_cell_length_b 9.295
_cell_length_c 9.295
_cell_angle_alpha 66.94
_cell_angle_beta 66.94
_cell_angle_gamma 66.94
loop_
_symmetry_equiv_pos_as_xyz
'x,y,z'
loop_
_atom_site_label
_atom_site_type_symbol
_atom_site_fract_x
_atom_site_fract_y
_atom_site_fract_z
Ac1 Ac 0.735 0.735 0.735
Ac2 Ac 0.865 0.179 0.585
Ac3 Ac 0.265 0.265 0.265
Ac4 Ac 0.415 0.135 0.821
Ac5 Ac 0.585 0.865 0.179
Ac6 Ac 0.821 0.415 0.135
Ac7 Ac 0.179 0.585 0.865
Ac8 Ac 0.135 0.821 0.415
Nd1 Nd 0.070 0.376 0.671
Nd2 Nd 0.671 0.070 0.376
Nd3 Nd 0.329 0.930 0.624
Nd4 Nd 0.624 0.329 0.930
Nd5 Nd 0.376 0.671 0.070
Nd6 Nd 0.930 0.624 0.329
Ca1 Ca 0.000 0.000 0.000
```

Theoretical density   6.927 Mg/m³
Formation energy   3.43 eV/f.u.
D(E_F)   1.56 states/eV/atom

Entry 7:
Below is Ca2Ac6Nd after structural relaxation, with properties calculated at the PBE level.

CIF file:
```
data_Ca2Ac6Nd
_symmetry_space_group_name_H-M 'P 1'
_symmetry_Int_Tables_number 1
_cell_length_a 5.854
_cell_length_b 9.306
_cell_length_c 9.306
_cell_angle_alpha 54.42
_cell_angle_beta 90.00
_cell_angle_gamma 90.00
loop_
_symmetry_equiv_pos_as_xyz
'x,y,z'
loop_
_atom_site_label
_atom_site_type_symbol
_atom_site_fract_x
_atom_site_fract_y
_atom_site_fract_z
Nd1 Nd 0.000 0.000 0.000
Ca1 Ca 0.500 0.220 0.220
Ca2 Ca 0.500 0.780 0.780
Ac1 Ac 0.500 0.262 0.738
Ac2 Ac 0.000 0.853 0.432
Ac3 Ac 0.500 0.738 0.262
Ac4 Ac 0.000 0.568 0.147
Ac5 Ac 0.000 0.147 0.568
Ac6 Ac 0.000 0.432 0.853
```

Theoretical density   6.388 Mg/m³
Formation energy   2.65 eV/f.u.
D(E_F)   1.74 states/eV/atom
Offset from the most stable computed form   220 meV/atom

Entry 8:
Below is CaAc2Nd8 after structural relaxation, with properties calculated at the PBE level.

CIF file:
```
data_CaAc2Nd8
_symmetry_space_group_name_H-M 'P 1'
_symmetry_Int_Tables_number 1
_cell_length_a 5.360
_cell_length_b 8.377
_cell_length_c 9.886
_cell_angle_alpha 104.91
_cell_angle_beta 105.73
_cell_angle_gamma 90.00
loop_
_symmetry_equiv_pos_as_xyz
'x,y,z'
loop_
_atom_site_label
_atom_site_type_symbol
_atom_site_fract_x
_atom_site_fract_y
_atom_site_fract_z
Nd1 Nd 0.682 0.906 0.364
Nd2 Nd 0.318 0.094 0.636
Nd3 Nd 0.044 0.720 0.088
Nd4 Nd 0.138 0.179 0.276
Nd5 Nd 0.956 0.280 0.912
Nd6 Nd 0.862 0.821 0.724
Nd7 Nd 0.411 0.542 0.822
Nd8 Nd 0.589 0.458 0.178
Ac1 Ac 0.226 0.640 0.453
Ac2 Ac 0.774 0.360 0.547
Ca1 Ca 0.500 0.000 0.000
```

Theoretical density   6.647 Mg/m³
Formation energy   0.46 eV/f.u.
D(E_F)   1.67 states/eV/atom